P.
Material: TiNi2GeO
Method: DFT, PBE with a Hubbard U
State: relaxed

Structure (POSCAR):
```
TiNi2GeO
1.0
3.791 0.000 0.000
0.000 3.791 0.000
0.000 0.000 4.686
Ti Ni Ge O
1 2 1 1
direct
0.000 0.000 0.000
0.000 0.500 0.500
0.500 0.000 0.500
0.500 0.500 0.000
0.500 0.500 0.500
```

Values from the calculation:
DOS at the Fermi energy ... 2.071 states/eV/cell

***

Q.
Material: TiNi2GeO
Method: DFT, PBE with a Hubbard U
State: relaxed

Structure (POSCAR):
```
TiNi2GeO
1.0
4.580 0.000 0.000
0.000 4.580 0.000
0.000 0.000 3.638
Ti Ni Ge O
1 2 1 1
direct
0.000 0.000 0.000
0.000 0.500 0.000
0.500 0.000 0.000
0.500 0.500 0.500
0.000 0.000 0.500
```

Values from the calculation:
DOS at the Fermi energy ... 2.362 states/eV/cell

***

Short version: Q is the least stable of them.